a) VASP calculation (PBE with a Hubbard U) on an optimized crystal structure of V2InO6.

Output
Space-group type: P-31m, No. 162

a b c (Å): 4.6612 5.0102 5.0102
angles (deg): 120.00 90.00 90.00
Site moments in Bohr magnetons follow the coordinates.
Sites, in units of the cell vectors:
V1 0.5000 0.6667 0.3333  0.68
V2 0.5000 0.3333 0.6667  0.68
In1 0.0000 0.0000 0.0000  0.03
O1 0.7254 0.6394 0.6394  -0.07
O2 0.2746 0.6394 0.0000  -0.07
O3 0.2746 0.0000 0.6394  -0.07
O4 0.7254 0.3606 0.0000  -0.07
O5 0.2746 0.3606 0.3606  -0.07
O6 0.7254 0.0000 0.3606  -0.07



b) VASP calculation (PBE with a Hubbard U) on an optimized crystal structure of V2InO6.

Output
Space-group type: C2/m, No. 12

a b c (Å): 3.6269 5.1304 6.6958
angles (deg): 69.55 74.29 69.30
Site moments in Bohr magnetons follow the coordinates.
Sites, in units of the cell vectors:
V1 0.1778 0.7658 0.8785  0.62
V2 0.8222 0.2342 0.1215  0.62
In1 0.0000 0.5000 0.5000  0.02
O1 0.7045 0.6673 0.9236  -0.08
O2 0.2955 0.3327 0.0764  -0.08
O3 0.9765 0.8506 0.1964  -0.04
O4 0.3477 0.6872 0.6173  -0.02
O5 0.0235 0.1494 0.8036  -0.04
O6 0.6523 0.3128 0.3827  -0.02



Most stable = b)



a) VASP calculation (PBE with a Hubbard U) on an optimized crystal structure of InW3O.

Output
Space-group type: Pm-3m, No. 221

a b c (Å): 5.4944 5.4944 5.4944
angles (deg): 90.00 90.00 90.00
Site moments in Bohr magnetons follow the coordinates.
Sites, in units of the cell vectors:
O1 0.5000 0.5000 0.5000  -0.57
W1 0.0000 0.5000 0.0000  3.32
W2 0.0000 0.0000 0.5000  3.41
W3 0.5000 0.0000 0.0000  3.37
In1 0.0000 0.0000 0.0000  -0.17



b) VASP calculation (PBE with a Hubbard U) on an optimized crystal structure of InW3O.

Output
Space-group type: Pm-3m, No. 221

a b c (Å): 4.2764 4.2764 4.2764
angles (deg): 90.00 90.00 90.00
Sites, in units of the cell vectors:
O1 0.0000 0.0000 0.0000
W1 0.0000 0.5000 0.0000
W2 0.0000 0.0000 0.5000
W3 0.5000 0.0000 0.0000
In1 0.5000 0.5000 0.5000



Most stable = b)



a) VASP calculation (PBE with a Hubbard U) on an optimized crystal structure of In3WO.

Output
Space-group type: Pm-3m, No. 221

a b c (Å): 4.7345 4.7345 4.7345
angles (deg): 90.00 90.00 90.00
Site moments in Bohr magnetons follow the coordinates.
Sites, in units of the cell vectors:
O1 0.0000 0.0000 0.0000  -0.10
W1 0.5000 0.5000 0.5000  3.19
In1 0.0000 0.5000 0.0000  -0.07
In2 0.0000 0.0000 0.5000  -0.08
In3 0.5000 0.0000 0.0000  -0.08



b) VASP calculation (PBE with a Hubbard U) on an optimized crystal structure of In3WO.

Output
Space-group type: Pm-3m, No. 221

a b c (Å): 5.5072 5.5072 5.5072
angles (deg): 90.00 90.00 90.00
Site moments in Bohr magnetons follow the coordinates.
Sites, in units of the cell vectors:
O1 0.5000 0.5000 0.5000  0.97
W1 0.0000 0.0000 0.0000  2.93
In1 0.0000 0.5000 0.0000  0.06
In2 0.0000 0.0000 0.5000  0.10
In3 0.5000 0.0000 0.0000  -0.01



Most stable = a)